#1
ScTe2IrN: relaxed, PBE.

The space group is P4/mmm (No. 123) and the conventional cell measures 5.539, 5.539 and 3.726 Å, with angles of 90.00, 90.00 and 90.00 degrees. The asymmetric unit holds Sc at (0.000, 0.000, 0.000), Te at (0.000, 0.500, 0.000), Ir at (0.500, 0.500, 0.500) and N at (0.000, 0.000, 0.500).

The density comes out at 7356 kg/m3. The value obtained for the magnetization is 0.6 μB/cell.

#2
ScTe2IrN: relaxed, PBE.

The space group is P4/mmm (No. 123) and the conventional cell measures 5.498, 5.498 and 3.705 Å, with angles of 90.00, 90.00 and 90.00 degrees. The asymmetric unit holds Sc at (0.000, 0.000, 0.000), Te at (0.000, 0.500, 0.500), Ir at (0.500, 0.500, 0.500) and N at (0.500, 0.500, 0.000).

The density comes out at 7507 kg/m3. The value obtained for the magnetization is 0.0 μB/cell.

The structure with the least stability is #1.

#1
Ir2SeN: relaxed, PBE.

The space group is Fm-3m (No. 225) and the conventional cell measures 5.958, 5.958 and 5.958 Å, with angles of 90.00, 90.00 and 90.00 degrees. The asymmetric unit holds Ir at (0.250, 0.250, 0.250), Se at (0.000, 0.000, 0.000) and N at (0.000, 0.000, 0.500).

The density comes out at 14994 kg/m3. The value obtained for the magnetization is 0.0 μB/cell.

#2
Ir2SeN: relaxed, PBE.

The space group is I-42d (No. 122) and the conventional cell measures 4.796, 4.796 and 11.310 Å, with angles of 90.00, 90.00 and 90.00 degrees. The asymmetric unit holds Ir at (0.156, 0.250, 0.125), Se at (0.000, 0.000, 0.500) and N at (0.000, 0.000, 0.000).

The density comes out at 12187 kg/m3. The value obtained for the magnetization is 0.0 μB/cell.

The structure with the least stability is #1.

#1
IrSe2N2: relaxed, PBE.

The space group is P4/mmm (No. 123) and the conventional cell measures 3.758, 3.758 and 6.170 Å, with angles of 90.00, 90.00 and 90.00 degrees. The asymmetric unit holds Ir at (0.000, 0.000, 0.000), Se at (0.000, 0.000, 0.500), Se at (0.500, 0.500, 0.500) and N at (0.000, 0.500, 0.000).

The density comes out at 7207 kg/m3. The value obtained for the magnetization is 0.5 μB/cell.

#2
IrSe2N2: relaxed, PBE.

The space group is P4/mmm (No. 123) and the conventional cell measures 3.598, 3.598 and 8.618 Å, with angles of 90.00, 90.00 and 90.00 degrees. The asymmetric unit holds Ir at (0.000, 0.000, 0.000), Se at (0.500, 0.500, 0.000), Se at (0.500, 0.500, 0.500) and N at (0.000, 0.500, 0.500).

The density comes out at 5628 kg/m3. The value obtained for the magnetization is 0.0 μB/cell.

The structure with the least stability is #2.

#1
SrIrSe2N: relaxed, PBE.

The space group is P4/mmm (No. 123) and the conventional cell measures 5.323, 5.323 and 3.727 Å, with angles of 90.00, 90.00 and 90.00 degrees. The asymmetric unit holds Sr at (0.000, 0.000, 0.000), Ir at (0.500, 0.500, 0.500), Se at (0.000, 0.500, 0.500) and N at (0.500, 0.500, 0.000).

The density comes out at 7105 kg/m3. The value obtained for the magnetization is 0.0 μB/cell.

#2
SrIrSe2N: relaxed, PBE.

The space group is P4/mmm (No. 123) and the conventional cell measures 5.667, 5.667 and 4.471 Å, with angles of 90.00, 90.00 and 90.00 degrees. The asymmetric unit holds Sr at (0.000, 0.000, 0.000), Ir at (0.500, 0.500, 0.500), Se at (0.000, 0.500, 0.000) and N at (0.000, 0.000, 0.500).

The density comes out at 5225 kg/m3. The value obtained for the magnetization is 4.5 μB/cell.

The structure with the least stability is #2.

#1
Sr2IrSeN: relaxed, PBE.

The space group is P4/mmm (No. 123) and the conventional cell measures 5.499, 5.499 and 3.779 Å, with angles of 90.00, 90.00 and 90.00 degrees. The asymmetric unit holds Sr at (0.000, 0.500, 0.000), Ir at (0.000, 0.000, 0.500), Se at (0.500, 0.500, 0.500) and N at (0.000, 0.000, 0.000).

The density comes out at 6689 kg/m3. The value obtained for the magnetization is 0.0 μB/cell.

#2
Sr2IrSeN: relaxed, PBE.

The space group is P4/mmm (No. 123) and the conventional cell measures 5.806, 5.806 and 3.782 Å, with angles of 90.00, 90.00 and 90.00 degrees. The asymmetric unit holds Sr at (0.000, 0.500, 0.000), Ir at (0.000, 0.000, 0.000), Se at (0.500, 0.500, 0.500) and N at (0.000, 0.000, 0.500).

The density comes out at 5998 kg/m3. The value obtained for the magnetization is 0.0 μB/cell.

The structure with the least stability is #2.

#1
TeIrSe2N: relaxed, PBE.

The space group is P4/mmm (No. 123) and the conventional cell measures 5.196, 5.196 and 3.699 Å, with angles of 90.00, 90.00 and 90.00 degrees. The asymmetric unit holds Te at (0.000, 0.000, 0.000), Ir at (0.500, 0.500, 0.500), Se at (0.000, 0.500, 0.500) and N at (0.500, 0.500, 0.000).

The density comes out at 8177 kg/m3. The value obtained for the magnetization is 0.0 μB/cell.

#2
TeIrSe2N: relaxed, PBE.

The space group is P4/mmm (No. 123) and the conventional cell measures 5.293, 5.293 and 3.789 Å, with angles of 90.00, 90.00 and 90.00 degrees. The asymmetric unit holds Te at (0.000, 0.000, 0.000), Ir at (0.500, 0.500, 0.500), Se at (0.000, 0.500, 0.000) and N at (0.000, 0.000, 0.500).

The density comes out at 7692 kg/m3. The value obtained for the magnetization is 0.2 μB/cell.

The structure with the least stability is #2.